# 1
The following is a GGA-PBE calculation of a relaxed LuGaIr crystal, from the Alexandria database.

Properties
The energy is -6.158 eV/atom. The energy relative to the elements comes out at -2.06 eV/f.u. The calculation puts the density of states at the Fermi level at 0.316 states/eV per atom.

a b c (Å): 4.472 4.472 4.472
angles (deg): 60.00 60.00 60.00
Fractional coordinates of all 3 atoms:
Ir (0.250, 0.250, 0.250)
Lu (0.500, 0.500, 0.500)
Ga (0.000, 0.000, 0.000)

***

# 2
The following is a GGA-PBE calculation of a relaxed LuMgGaIr crystal, from the Alexandria database.

Properties
The energy is -5.025 eV/atom. The energy relative to the elements comes out at -2.10 eV/f.u. The calculation puts the density of states at the Fermi level at 0.548 states/eV per atom.

a b c (Å): 4.690 4.690 4.690
angles (deg): 60.00 60.00 60.00
Fractional coordinates of all 4 atoms:
Mg (0.500, 0.500, 0.500)
Ir (0.750, 0.750, 0.750)
Lu (0.000, 0.000, 0.000)
Ga (0.250, 0.250, 0.250)

***

# 3
The following is a GGA-PBE calculation of a relaxed LuGaNiIr crystal, from the Alexandria database.

Properties
The energy is -6.132 eV/atom. The energy relative to the elements comes out at -2.34 eV/f.u. The calculation puts the density of states at the Fermi level at 0.734 states/eV per atom.

a b c (Å): 4.482 4.482 4.482
angles (deg): 60.00 60.00 60.00
Fractional coordinates of all 4 atoms:
Ni (0.250, 0.250, 0.250)
Ir (0.750, 0.750, 0.750)
Lu (0.000, 0.000, 0.000)
Ga (0.500, 0.500, 0.500)